<A>
Compound: ZrTlW2
Source: the Alexandria database
Functional: PBE
Structure: relaxed

a b c (Å): 2.9749 2.9749 9.5237
angles (deg): 90.00 90.00 112.18
Fractional coordinates of all 4 atoms:
1 W 0.0000 0.0000 0.0241
2 W 0.5000 0.5000 0.2356
3 Zr 0.0000 0.0000 0.4789
4 Tl 0.5000 0.5000 0.7614

Calculated values
Fermi-level density of states: 2.757 states/eV/cell
SG: Cmm2 (35)

=====

<B>
Compound: ZrTlW2
Source: the Alexandria database
Functional: PBE
Structure: relaxed

a b c (Å): 2.8617 4.7130 5.9845
angles (deg): 90.00 90.00 90.00
Fractional coordinates of all 4 atoms:
1 Zr 0.5000 0.5000 0.2500
2 Tl 0.5000 0.5000 0.7500
3 W 0.0000 0.0000 0.0408
4 W 0.0000 0.0000 0.4592

Calculated values
Fermi-level density of states: 4.410 states/eV/cell
SG: Pmmm (47)

=====

<C>
Compound: ZrTlW2
Source: the Alexandria database
Functional: PBE
Structure: relaxed

a b c (Å): 10.2550 10.2550 10.2550
angles (deg): 16.67 16.67 16.67
Fractional coordinates of all 4 atoms:
1 Zr 0.2500 0.2500 0.2500
2 Tl 0.7500 0.7500 0.7500
3 W 0.4986 0.4986 0.4986
4 W 0.0014 0.0014 0.0014

Calculated values
Fermi-level density of states: 5.067 states/eV/cell
SG: R-3m (166)

=====

<D>
Compound: ZrTlW2
Source: the Alexandria database
Functional: PBE
Structure: relaxed

a b c (Å): 5.1508 5.1508 5.4103
angles (deg): 83.30 83.30 32.45
Fractional coordinates of all 4 atoms:
1 Tl 0.2527 0.2527 0.2504
2 W 0.0003 0.0003 0.9830
3 W 0.7473 0.7473 0.7644
4 Zr 0.4998 0.4998 0.5022

Calculated values
Fermi-level density of states: 4.118 states/eV/cell
SG: Cm (8)

=====

<A> comes first in stability; the runner-up is 293 meV/atom higher.

=====

<A>
Compound: ZrTl2W
Source: the Alexandria database
Functional: PBE
Structure: relaxed

a b c (Å): 10.2404 10.2404 10.2404
angles (deg): 18.65 18.65 18.65
Fractional coordinates of all 4 atoms:
1 Zr 0.7624 0.7624 0.7624
2 Tl 0.2394 0.2394 0.2394
3 W 0.4928 0.4928 0.4928
4 Tl 0.0055 0.0055 0.0055

Calculated values
Fermi-level density of states: 2.629 states/eV/cell
SG: R3m (160)

=====

<B>
Compound: ZrTl2W
Source: the Alexandria database
Functional: PBE
Structure: relaxed

a b c (Å): 3.1315 3.1315 10.0167
angles (deg): 90.00 90.00 110.18
Fractional coordinates of all 4 atoms:
1 W 0.0000 0.0000 0.5176
2 Tl 0.0000 0.0000 0.9863
3 Tl 0.5000 0.5000 0.2766
4 Zr 0.5000 0.5000 0.7196

Calculated values
Fermi-level density of states: 3.583 states/eV/cell
SG: Cmm2 (35)

=====

<B> comes first in stability; the runner-up is 50 meV/atom higher.

=====

<A>
Compound: ZrTl2W
Source: the Alexandria database
Functional: PBE
Structure: relaxed

a b c (Å): 3.0333 4.5219 6.1241
angles (deg): 90.00 90.00 90.00
Fractional coordinates of all 4 atoms:
1 Tl 0.0000 0.0000 0.4913
2 Zr 0.5000 0.5000 0.7500
3 W 0.5000 0.5000 0.2500
4 Tl 0.0000 0.0000 0.0087

Calculated values
Fermi-level density of states: 2.520 states/eV/cell
SG: Pmmm (47)

=====

<B>
Compound: ZrTl2W
Source: the Alexandria database
Functional: PBE
Structure: relaxed

a b c (Å): 3.6879 3.6891 6.4945
angles (deg): 90.00 90.00 90.00
Fractional coordinates of all 4 atoms:
1 W 0.0000 0.0000 0.5285
2 Tl 0.5000 0.5000 0.2621
3 Zr 0.5000 0.5000 0.7156
4 Tl 0.0000 0.0000 0.9938

Calculated values
Fermi-level density of states: 2.872 states/eV/cell
SG: P4mm (99)

=====

<B> comes first in stability; the runner-up is 109 meV/atom higher.

=====

<A>
Compound: ZrTlW3
Source: the Alexandria database
Functional: PBE
Structure: relaxed

a b c (Å): 4.8709 4.8709 4.8709
angles (deg): 90.00 90.00 90.00
Fractional coordinates of all 5 atoms:
1 W 0.5000 0.0000 0.0000
2 Tl 0.5000 0.5000 0.5000
3 W 0.0000 0.0000 0.5000
4 Zr 0.0000 0.0000 0.0000
5 W 0.0000 0.5000 0.0000

Calculated values
Fermi-level density of states: 5.739 states/eV/cell
SG: Pm-3m (221)

=====

<B>
Compound: ZrTlW3
Source: the Alexandria database
Functional: PBE
Structure: relaxed

a b c (Å): 4.9378 4.9378 4.9378
angles (deg): 90.00 90.00 90.00
Fractional coordinates of all 5 atoms:
1 W 0.0000 0.0000 0.5000
2 W 0.5000 0.0000 0.0000
3 Zr 0.5000 0.5000 0.5000
4 W 0.0000 0.5000 0.0000
5 Tl 0.0000 0.0000 0.0000

Calculated values
Fermi-level density of states: 7.444 states/eV/cell
SG: Pm-3m (221)

=====

<A> comes first in stability; the runner-up is 260 meV/atom higher.

=====

<A>
Compound: Y5Tl
Source: the Alexandria database
Functional: PBE
Structure: relaxed

a b c (Å): 8.0167 8.0167 4.8847
angles (deg): 90.00 90.00 144.60
Fractional coordinates of all 6 atoms:
1 Y 0.6341 0.3659 0.0000
2 Y 0.8038 0.1962 0.5000
3 Tl 0.9722 0.0278 0.0000
4 Y 0.1406 0.8594 0.5000
5 Y 0.3103 0.6897 0.0000
6 Y 0.4722 0.5278 0.5000

Calculated values
Fermi-level density of states: 8.100 states/eV/cell
SG: Cmmm (65)

=====

<B>
Compound: Y5Tl
Source: the Alexandria database
Functional: PBE
Structure: relaxed

a b c (Å): 9.3651 9.3651 5.5417
angles (deg): 90.00 90.00 157.70
Fractional coordinates of all 6 atoms:
1 Y 0.4521 0.5479 0.5000
2 Y 0.1107 0.8893 0.5000
3 Y 0.3310 0.6690 0.0000
4 Y 0.6616 0.3384 0.0000
5 Tl 0.0015 0.9985 0.0000
6 Y 0.7764 0.2236 0.5000

Calculated values
Fermi-level density of states: 6.630 states/eV/cell
SG: Amm2 (38)

=====

<C>
Compound: Y5Tl
Source: the Alexandria database
Functional: PBE
Structure: relaxed

a b c (Å): 6.4758 6.4758 6.4758
angles (deg): 60.00 60.00 60.00
Fractional coordinates of all 6 atoms:
1 Y 0.6242 0.6242 0.1273
2 Y 0.1273 0.6242 0.6242
3 Y 0.6242 0.1273 0.6242
4 Tl 0.0000 0.0000 0.0000
5 Y 0.6242 0.6242 0.6242
6 Y 0.2500 0.2500 0.2500

Calculated values
Fermi-level density of states: 7.723 states/eV/cell
SG: F-43m (216)

=====

<D>
Compound: Y5Tl
Source: the Alexandria database
Functional: PBE
Structure: relaxed

a b c (Å): 6.4660 6.4660 5.8234
angles (deg): 90.00 90.00 120.00
Fractional coordinates of all 6 atoms:
1 Y 0.3333 0.6667 0.0000
2 Y 0.5000 0.5000 0.5000
3 Tl 0.0000 0.0000 0.0000
4 Y 0.0000 0.5000 0.5000
5 Y 0.6667 0.3333 0.0000
6 Y 0.5000 0.0000 0.5000

Calculated values
Fermi-level density of states: 10.370 states/eV/cell
SG: P6/mmm (191)

=====

<A> comes first in stability; the runner-up is 13 meV/atom higher.

=====

<A>
Compound: Y5Tl
Source: the Alexandria database
Functional: PBE
Structure: relaxed

a b c (Å): 6.6233 6.6233 8.2850
angles (deg): 75.74 75.74 31.66
Fractional coordinates of all 6 atoms:
1 Y 0.3247 0.3247 0.3366
2 Tl 0.0061 0.0061 0.9985
3 Y 0.9392 0.9392 0.6041
4 Y 0.6585 0.6585 0.6899
5 Y 0.6062 0.6062 0.2586
6 Y 0.2986 0.2986 0.9456

Calculated values
Fermi-level density of states: 8.947 states/eV/cell
SG: Cm (8)

=====

<B>
Compound: Y5Tl
Source: the Alexandria database
Functional: PBE
Structure: relaxed

a b c (Å): 6.1630 6.1630 5.5761
angles (deg): 90.00 90.00 120.00
Fractional coordinates of all 6 atoms:
1 Tl 0.0000 0.0000 0.5000
2 Y 0.3155 0.3155 0.0000
3 Y 0.6845 0.0000 0.0000
4 Y 0.3333 0.6667 0.5000
5 Y 0.6667 0.3333 0.5000
6 Y 0.0000 0.6845 0.0000

Calculated values
Fermi-level density of states: 10.154 states/eV/cell
SG: P-62m (189)

=====

<A> comes first in stability; the runner-up is 58 meV/atom higher.

=====

<A>
Compound: Y3Tl4
Source: the Alexandria database
Functional: PBE
Structure: relaxed

a b c (Å): 6.5232 6.5232 5.7605
angles (deg): 90.00 90.00 120.00
Fractional coordinates of all 7 atoms:
1 Y 0.5000 0.5000 0.0000
2 Y 0.0000 0.5000 0.0000
3 Tl 0.0000 0.0000 0.2497
4 Tl 0.0000 0.0000 0.7503
5 Tl 0.6667 0.3333 0.5000
6 Y 0.5000 0.0000 0.0000
7 Tl 0.3333 0.6667 0.5000

Calculated values
Fermi-level density of states: 8.697 states/eV/cell
SG: P6/mmm (191)

=====

<B>
Compound: Y3Tl4
Source: the Alexandria database
Functional: PBE
Structure: relaxed

a b c (Å): 14.8290 14.8290 14.8290
angles (deg): 165.61 165.61 20.41
Fractional coordinates of all 7 atoms:
1 Tl 0.1377 0.1377 0.0000
2 Y 0.7091 0.7091 0.0000
3 Tl 0.5701 0.5701 0.0000
4 Tl 0.4299 0.4299 0.0000
5 Y 0.0000 0.0000 0.0000
6 Tl 0.8623 0.8623 0.0000
7 Y 0.2909 0.2909 0.0000

Calculated values
Fermi-level density of states: 5.958 states/eV/cell
SG: I4/mmm (139)

=====

<B> comes first in stability; the runner-up is 141 meV/atom higher.

=====

<A>
Compound: Y3Tl4
Source: the Alexandria database
Functional: PBE
Structure: relaxed

a b c (Å): 6.5187 8.5290 8.5290
angles (deg): 113.74 104.76 104.76
Fractional coordinates of all 14 atoms:
1 Tl 0.7495 0.1512 0.6883
2 Tl 0.0613 0.3117 0.4630
3 Y 0.5015 0.2663 0.3913
4 Tl 0.4017 0.4630 0.1512
5 Tl 0.5983 0.5370 0.8488
6 Tl 0.0000 0.0000 0.0000
7 Y 0.2351 0.1249 0.7337
8 Y 0.1102 0.6087 0.8751
9 Y 0.8898 0.3913 0.1249
10 Tl 0.9387 0.6883 0.5370
11 Y 0.4985 0.7337 0.6087
12 Tl 0.5000 0.0000 0.0000
13 Tl 0.2505 0.8488 0.3117
14 Y 0.7649 0.8751 0.2663

Calculated values
Fermi-level density of states: 9.015 states/eV/cell
SG: R-3 (148)

=====

<B>
Compound: Y3Tl4
Source: the Alexandria database
Functional: PBE
Structure: relaxed

a b c (Å): 8.0426 8.0426 8.0426
angles (deg): 109.47 109.47 109.47
Fractional coordinates of all 14 atoms:
1 Tl 0.1635 0.6635 0.6635
2 Tl 0.0000 0.0000 0.3365
3 Tl 0.8365 0.5000 0.0000
4 Y 0.1250 0.3750 0.2500
5 Y 0.3750 0.1250 0.7500
6 Tl 0.0000 0.0000 0.8365
7 Tl 0.3365 0.5000 0.0000
8 Y 0.7500 0.6250 0.3750
9 Y 0.8750 0.2500 0.6250
10 Y 0.2500 0.8750 0.1250
11 Tl 0.5000 0.8365 0.5000
12 Tl 0.6635 0.1635 0.1635
13 Y 0.6250 0.7500 0.8750
14 Tl 0.5000 0.3365 0.5000

Calculated values
Fermi-level density of states: 11.651 states/eV/cell
SG: I-43d (220)

=====

<A> comes first in stability; the runner-up is 77 meV/atom higher.

=====

<A>
Compound: Y4Tl
Source: the Alexandria database
Functional: PBE
Structure: relaxed

a b c (Å): 6.7558 6.7558 8.7054
angles (deg): 99.53 99.53 124.99
Fractional coordinates of all 10 atoms:
1 Y 0.0624 0.9841 0.6014
2 Y 0.8208 0.4259 0.2999
3 Tl 0.5100 0.0100 0.5000
4 Y 0.7709 0.8760 0.2001
5 Y 0.6759 0.5708 0.7999
6 Tl 0.2600 0.2600 0.0000
7 Y 0.7111 0.1328 0.8986
8 Y 0.1260 0.5209 0.7001
9 Y 0.3828 0.4611 0.3986
10 Y 0.2341 0.8124 0.1014

Calculated values
Fermi-level density of states: 12.831 states/eV/cell
SG: Fdd2 (43)

=====

<B>
Compound: Y4Tl
Source: the Alexandria database
Functional: PBE
Structure: relaxed

a b c (Å): 5.7513 5.7513 5.7513
angles (deg): 90.00 90.00 90.00
Fractional coordinates of all 5 atoms:
1 Y 0.0000 0.5000 0.5000
2 Tl 0.5000 0.5000 0.5000
3 Y 0.5000 0.0000 0.5000
4 Y 0.5000 0.5000 0.0000
5 Y 0.0000 0.0000 0.0000

Calculated values
Fermi-level density of states: 8.856 states/eV/cell
SG: Pm-3m (221)

=====

<C>
Compound: Y4Tl
Source: the Alexandria database
Functional: PBE
Structure: relaxed

a b c (Å): 6.7228 6.7228 6.9971
angles (deg): 90.00 90.00 90.00
Fractional coordinates of all 10 atoms:
1 Tl 0.0000 0.0000 0.0000
2 Y 0.2287 0.3788 0.8464
3 Y 0.6212 0.2287 0.1536
4 Y 0.8788 0.7287 0.3464
5 Y 0.7713 0.6212 0.8464
6 Y 0.1212 0.2713 0.3464
7 Y 0.7287 0.1212 0.6536
8 Y 0.3788 0.7713 0.1536
9 Y 0.2713 0.8788 0.6536
10 Tl 0.5000 0.5000 0.5000

Calculated values
Fermi-level density of states: 16.682 states/eV/cell
SG: P-42_1c (114)

=====

<D>
Compound: Y4Tl
Source: the Alexandria database
Functional: PBE
Structure: relaxed

a b c (Å): 6.0440 6.0440 6.0440
angles (deg): 99.23 99.23 132.79
Fractional coordinates of all 5 atoms:
1 Y 0.3905 0.1979 0.5883
2 Tl 0.0000 0.0000 0.0000
3 Y 0.1979 0.6095 0.8074
4 Y 0.6095 0.8021 0.4117
5 Y 0.8021 0.3905 0.1926

Calculated values
Fermi-level density of states: 7.778 states/eV/cell
SG: I4/m (87)

=====

<D> comes first in stability; the runner-up is 21 meV/atom higher.

=====

<A>
Compound: Y5Tl4
Source: the Alexandria database
Functional: PBE
Structure: relaxed

a b c (Å): 9.3360 9.3360 6.7412
angles (deg): 90.00 90.00 120.00
Fractional coordinates of all 18 atoms:
1 Y 0.6667 0.3333 0.5000
2 Tl 0.0000 0.6245 0.7500
3 Y 0.7129 0.7129 0.7500
4 Y 0.2871 0.2871 0.2500
5 Y 0.0000 0.2871 0.7500
6 Y 0.6667 0.3333 0.0000
7 Y 0.7129 0.0000 0.2500
8 Tl 0.6245 0.6245 0.2500
9 Tl 0.0000 0.3755 0.2500
10 Tl 0.6245 0.0000 0.7500
11 Tl 0.3755 0.0000 0.2500
12 Tl 0.0000 0.0000 0.5000
13 Y 0.2871 0.0000 0.7500
14 Tl 0.3755 0.3755 0.7500
15 Y 0.0000 0.7129 0.2500
16 Tl 0.0000 0.0000 0.0000
17 Y 0.3333 0.6667 0.5000
18 Y 0.3333 0.6667 0.0000

Calculated values
Fermi-level density of states: 12.949 states/eV/cell
SG: P6_3/mcm (193)

=====

<B>
Compound: Y5Tl4
Source: the Alexandria database
Functional: PBE
Structure: relaxed

a b c (Å): 7.6631 7.6631 7.6631
angles (deg): 96.09 96.09 141.99
Fractional coordinates of all 9 atoms:
1 Y 0.0000 0.0000 0.0000
2 Y 0.6721 0.3279 0.0000
3 Y 0.3279 0.6721 0.0000
4 Y 0.3279 0.3279 0.6559
5 Y 0.6721 0.6721 0.3441
6 Tl 0.0000 0.6855 0.6855
7 Tl 0.6855 0.0000 0.6855
8 Tl 0.0000 0.3145 0.3145
9 Tl 0.3145 0.0000 0.3145

Calculated values
Fermi-level density of states: 11.906 states/eV/cell
SG: I4/mmm (139)

=====

<A> comes first in stability; the runner-up is 265 meV/atom higher.